(1)
# Ho2BI

Ho2BI after structural relaxation (PBE, the Alexandria database).

Values from the calculation:
M_tot   0.000 μB per atom
Formation energy without anion corrections   -2.421 eV per formula unit
Volume   24.89 A^3/atom

Cell lengths 3.9359, 3.9359, 22.2619 Å; angles 90.00, 90.00, 120.00 degrees
Space group R-3m (No. 166, hexagonal axes)
One atom of each set of equivalent atoms:
Ho 0.0000 0.0000 0.2243 x6
B 0.0000 0.0000 0.5000 x3
I 0.0000 0.0000 0.0000 x3



(2)
# NaLaCu3

NaLaCu3 after structural relaxation (PBE, the Alexandria database).

Values from the calculation:
Formation energy from the elements   0.5565 eV/atom
M_tot   0.000 μB per atom
Volume   22.11 A^3/atom
Energy above the most stable polymorph in this dataset   0.00 eV per formula unit

Cell lengths 4.799, 4.799, 4.799 Å; angles 90.00, 90.00, 90.00 degrees
Space group Pm-3m (No. 221)
One atom of each set of equivalent atoms:
Na 0.000 0.000 0.000 x1
La 0.500 0.500 0.500 x1
Cu 0.000 0.000 0.500 x3